FeCo2Pt2 | GGA-PBE | relaxed

abc: 3.9705 3.9705 5.2717
angles: 90.00 90.00 114.68
Each line ends with the local moment (μB).
Positions (direct):
Fe (0.0000, 0.0000, 0.0000)  3.17
Co (0.8309, 0.1691, 0.5000)  1.92
Co (0.1691, 0.8309, 0.5000)  1.92
Pt (0.5000, 0.5000, 0.7485)  0.42
Pt (0.5000, 0.5000, 0.2515)  0.42

As for the energy above the most stable polymorph in this dataset: 71 meV per atom. The energy relative to the elements comes out at 0.17 eV/atom.



Zn2GaCuIr | GGA-PBE | relaxed

abc: 4.5475 4.6348 4.5475
angles: 90.00 90.00 90.00
Positions (direct):
Zn (0.0000, 0.0000, 0.5000)
Zn (0.5000, 0.0000, 0.0000)
Ir (0.0000, 0.5000, 0.0000)
Cu (0.5000, 0.5000, 0.5000)
Ga (0.0000, 0.0000, 0.0000)

The energy relative to the elements comes out at 0.87 eV/atom.



ZrCuW | GGA-PBE | relaxed

abc: 5.1371 5.1371 5.1371
angles: 142.07 142.07 54.72
Positions (direct):
Cu (0.9849, 0.9849, 0.0000)
W (0.3503, 0.3503, 0.0000)
Zr (0.6648, 0.6648, 0.0000)

As for the energy above the most stable polymorph in this dataset: 87 meV per atom. The energy relative to the elements comes out at 0.29 eV/atom.



Sm2PuCrN4 | GGA-PBE | relaxed

abc: 3.4142 6.0715 12.0052
angles: 90.00 90.00 106.33
Each line ends with the local moment (μB).
Positions (direct):
Sm (0.3684, 0.7368, 0.5432)  0.05
Sm (0.6316, 0.2632, 0.0432)  0.05
Sm (0.6316, 0.2632, 0.4568)  0.05
Sm (0.3684, 0.7368, 0.9568)  0.05
Pu (0.1051, 0.2101, 0.7500)  5.27
Pu (0.8949, 0.7899, 0.2500)  5.27
Cr (0.8344, 0.6687, 0.7500)  1.75
Cr (0.1656, 0.3313, 0.2500)  1.75
N (0.2713, 0.5426, 0.1361)  -0.07
N (0.7287, 0.4574, 0.6361)  -0.07
N (0.7287, 0.4574, 0.8639)  -0.07
N (0.2713, 0.5426, 0.3639)  -0.07
N (0.0000, 0.0000, 0.5000)  -0.01
N (0.0000, 0.0000, 0.0000)  -0.01
N (0.4214, 0.8427, 0.7500)  -0.12
N (0.5786, 0.1573, 0.2500)  -0.12

The calculation puts the uncorrected formation energy at -1024.6 meV/atom.



Ca2B13 | GGA-PBE | relaxed

abc: 6.6562 6.6562 5.6366
angles: 53.81 53.81 60.00
Positions (direct):
Ca (0.2919, 0.2919, 0.1242)
Ca (0.7081, 0.7081, 0.8758)
B (0.5000, 0.5000, 0.5000)
B (0.7605, 0.1660, 0.9075)
B (0.1660, 0.1660, 0.9075)
B (0.1660, 0.7605, 0.9075)
B (0.8340, 0.2395, 0.0925)
B (0.2395, 0.8340, 0.0925)
B (0.8340, 0.8340, 0.0925)
B (0.6718, 0.9954, 0.3375)
B (0.9954, 0.9954, 0.3375)
B (0.9954, 0.6718, 0.3375)
B (0.0046, 0.3282, 0.6625)
B (0.3282, 0.0046, 0.6625)
B (0.0046, 0.0046, 0.6625)

The energy relative to the elements comes out at 0.49 eV/atom.



SrCa3Ga2 | GGA-PBE | relaxed

abc: 5.0997 7.5912 9.7068
angles: 90.00 90.00 90.00
Positions (direct):
Sr (0.5000, 0.5285, 0.5660)
Sr (0.5000, 0.0285, 0.4340)
Ca (0.0000, 0.4710, 0.9333)
Ca (0.0000, 0.9710, 0.0667)
Ca (0.5000, 0.6543, 0.1779)
Ca (0.5000, 0.1543, 0.8221)
Ca (0.0000, 0.3461, 0.3117)
Ca (0.0000, 0.8461, 0.6883)
Ga (0.5000, 0.7454, 0.8695)
Ga (0.5000, 0.2454, 0.1305)
Ga (0.0000, 0.2546, 0.6374)
Ga (0.0000, 0.7546, 0.3626)

The energy relative to the elements comes out at -0.32 eV/atom.



Asked for density of states at the Fermi level across the records above, the calculation gives 4.2; 3.3; 2.6; 7.7; 3.8; 6.1 states/eV/f.u. in order.